Entry 1:
A relaxed structure of Lu4NbTc, computed with PBE.

- symmetry = Cmmm (65)
- energy of formation (eV per atom) = 0.409
- spin magnetization (μB/f.u.) = 1.412
- calculated total energy (eV per cell) = -36.1

```
data_Lu4NbTc
_chemical_formula_sum 'Lu4 Nb1 Tc1'
_space_group_name_H-M_alt 'P 1'
_space_group_IT_number 1
_cell_length_a 7.112
_cell_length_b 7.112
_cell_length_c 3.339
_cell_angle_alpha 90.00
_cell_angle_beta 90.00
_cell_angle_gamma 90.35
loop_
_space_group_symop_operation_xyz
'x,y,z'
loop_
_atom_site_label
_atom_site_type_symbol
_atom_site_fract_x
_atom_site_fract_y
_atom_site_fract_z
Lu1 Lu 0.760 0.240 0.000
Lu2 Lu 0.240 0.760 0.000
Lu3 Lu 0.284 0.284 0.500
Lu4 Lu 0.716 0.716 0.500
Nb1 Nb 0.000 0.000 0.500
Tc1 Tc 0.500 0.500 0.000
```


Entry 2:
A relaxed structure of KScFeSe3, computed with PBE.

- symmetry = C2/m (12)
- spin magnetization (μB/f.u.) = 4.001
- calculated total energy (eV per cell) = -64.1

```
data_KScFeSe3
_chemical_formula_sum 'K2 Sc2 Fe2 Se6'
_space_group_name_H-M_alt 'P 1'
_space_group_IT_number 1
_cell_length_a 8.741
_cell_length_b 8.741
_cell_length_c 8.651
_cell_angle_alpha 101.97
_cell_angle_beta 101.97
_cell_angle_gamma 26.42
loop_
_space_group_symop_operation_xyz
'x,y,z'
loop_
_atom_site_label
_atom_site_type_symbol
_atom_site_fract_x
_atom_site_fract_y
_atom_site_fract_z
Fe1 Fe 0.493 0.493 0.281
Fe2 Fe 0.507 0.507 0.719
K1 K 0.148 0.148 0.067
K2 K 0.852 0.852 0.933
Sc1 Sc 0.831 0.831 0.423
Sc2 Sc 0.169 0.169 0.577
Se1 Se 0.500 0.500 0.000
Se2 Se 0.340 0.340 0.220
Se3 Se 0.666 0.666 0.362
Se4 Se 0.000 0.000 0.500
Se5 Se 0.334 0.334 0.638
Se6 Se 0.660 0.660 0.780
```


Entry 3:
A relaxed structure of LiErSO, computed with PBE.

- symmetry = P2_1 (4)
- energy above the most stable polymorph in this dataset (eV/atom) = 0.076
- spin magnetization (μB/f.u.) = 0.001
- calculated total energy (eV per cell) = -100.3

```
data_LiErSO
_chemical_formula_sum 'Li4 Er4 S4 O4'
_space_group_name_H-M_alt 'P 1'
_space_group_IT_number 1
_cell_length_a 5.458
_cell_length_b 5.427
_cell_length_c 9.812
_cell_angle_alpha 90.00
_cell_angle_beta 105.12
_cell_angle_gamma 90.00
loop_
_space_group_symop_operation_xyz
'x,y,z'
loop_
_atom_site_label
_atom_site_type_symbol
_atom_site_fract_x
_atom_site_fract_y
_atom_site_fract_z
Er1 Er 0.552 0.336 0.115
Er2 Er 0.052 0.839 0.116
Er3 Er 0.948 0.339 0.884
Er4 Er 0.448 0.836 0.885
Li1 Li 0.478 0.587 0.418
Li2 Li 0.025 0.224 0.427
Li3 Li 0.975 0.724 0.573
Li4 Li 0.522 0.087 0.582
O1 O 0.751 0.585 0.000
O2 O 0.250 0.586 0.001
O3 O 0.750 0.086 0.999
O4 O 0.249 0.085 0.000
S1 S 0.874 0.619 0.330
S2 S 0.380 0.124 0.331
S3 S 0.620 0.624 0.669
S4 S 0.126 0.119 0.670
```


- Which formula does entry 1 have?
  Lu4NbTc